The following is a DFT calculation (GGA-PBE) of an optimized crystal structure of Tl3PCl.

Geometry as POSCAR:
```
Tl3PCl
1.0
5.802 0.000 0.000
0.000 5.802 0.000
0.000 0.000 5.802
Tl P Cl
3 1 1
Cartesian
0.000 0.000 2.901
0.000 2.901 0.000
2.901 0.000 0.000
2.901 2.901 2.901
0.000 0.000 0.000
```

The total DFT energy (no corrections) comes out at -2.586 eV/atom. The volume is 195.3 Å³/f.u. The formation energy (no corrections) is 0.29 eV/atom.